1.
DFT (GGA-PBE) results for a geometry-optimized In8Sn4Pb structure.

Summary:
DFT total energy (Ha/atom): -0.115
DOS(E_F) (states/eV/cell): 6.35
Space group: No. 25
Magnetization (μB/cell): 0.000

abc: 3.480 5.247 20.241
angles: 90.00 90.00 90.00
Element x y z (fractional)
In 0.000 0.000 0.000
In 0.000 0.000 0.267
In 0.000 0.500 0.106
In 0.000 0.500 0.454
In 0.500 0.000 0.409
In 0.500 0.000 0.696
In 0.500 0.500 0.609
In 0.500 0.500 0.955
Sn 0.000 0.000 0.550
Sn 0.000 0.500 0.771
Sn 0.500 0.000 0.136
Sn 0.500 0.500 0.310
Pb 0.500 0.000 0.854

2.
DFT (GGA-PBE) results for a geometry-optimized HfMg2TeC structure.

Summary:
DFT total energy (Ha/atom): -0.168
Formation energy (no corrections) (eV per atom): 0.53
DOS(E_F) (states/eV/cell): 3.07
Space group: No. 123
Magnetization (μB/cell): 0.000

abc: 4.226 4.226 5.603
angles: 90.00 90.00 90.00
Element x y z (fractional)
Hf 0.000 0.000 0.000
Mg 0.000 0.500 0.500
Mg 0.500 0.000 0.500
Te 0.500 0.500 0.000
C 0.500 0.500 0.500

3.
DFT (GGA-PBE) results for a geometry-optimized TiPbAuF2 structure.

Summary:
DFT total energy (Ha/atom): -0.147
Formation energy (no corrections) (eV per atom): -0.29
DOS(E_F) (states/eV/cell): 5.11
Space group: No. 123
Magnetization (μB/cell): 0.000

abc: 4.384 4.384 5.326
angles: 90.00 90.00 90.00
Element x y z (fractional)
Ti 0.000 0.000 0.000
Pb 0.500 0.500 0.000
Au 0.000 0.000 0.500
F 0.000 0.500 0.500
F 0.500 0.000 0.500